[1]
The following is a meta-GGA SCAN calculation of a PBEsol-optimized structure of KMg2Tc, from Alexandria.

Output
Theoretical density = 3.6 g/cm³
M_tot = 0.0 μB/f.u.
Formation enthalpy at 0 K = 23.77 kcal/mol of atoms

Geometry as CIF:
```
data_KMg2Tc
_cell_length_a 5.556
_cell_length_b 5.556
_cell_length_c 5.556
_cell_angle_alpha 134.95
_cell_angle_beta 134.95
_cell_angle_gamma 65.60
_symmetry_space_group_name_H-M 'P 1'
_symmetry_Int_Tables_number 1
_symmetry_space_group_name_Hall 'P 1'
loop_
_atom_site_label
_atom_site_type_symbol
_atom_site_fract_x
_atom_site_fract_y
_atom_site_fract_z
K1 K 0.000 0.000 0.000
Mg1 Mg 0.500 0.500 0.000
Mg2 Mg 0.750 0.250 0.500
Tc1 Tc 0.250 0.750 0.500
```

[2]
The following is a meta-GGA SCAN calculation of a PBEsol-optimized structure of SrCrSi, from Alexandria.

Output
Theoretical density = 4.5 g/cm³
M_tot = 3.3 μB/f.u.
Formation energy from raw total energies = 98.8 meV/atom

Geometry as CIF:
```
data_SrCrSi
_cell_length_a 6.043
_cell_length_b 6.043
_cell_length_c 6.043
_cell_angle_alpha 149.36
_cell_angle_beta 146.11
_cell_angle_gamma 46.33
_symmetry_space_group_name_H-M 'P 1'
_symmetry_Int_Tables_number 1
_symmetry_space_group_name_Hall 'P 1'
loop_
_atom_site_label
_atom_site_type_symbol
_atom_site_fract_x
_atom_site_fract_y
_atom_site_fract_z
Sr1 Sr 0.000 0.000 0.000
Cr1 Cr 0.725 0.725 0.000
Si1 Si 0.288 0.288 0.000
```

[3]
The following is a meta-GGA SCAN calculation of a PBEsol-optimized structure of Ta2CdAs, from Alexandria.

Output
Distance to the lowest polymorph of the same formula = 0 meV per atom
Theoretical density = 12.1 g/cm³
M_tot = 0.0 μB/f.u.
Formation enthalpy at 0 K = 0.26 kcal/mol of atoms

Geometry as CIF:
```
data_Ta2CdAs
_cell_length_a 2.914
_cell_length_b 2.914
_cell_length_c 9.223
_cell_angle_alpha 90.00
_cell_angle_beta 90.00
_cell_angle_gamma 105.45
_symmetry_space_group_name_H-M 'P 1'
_symmetry_Int_Tables_number 1
_symmetry_space_group_name_Hall 'P 1'
loop_
_atom_site_label
_atom_site_type_symbol
_atom_site_fract_x
_atom_site_fract_y
_atom_site_fract_z
Ta1 Ta 0.000 0.000 0.000
Ta2 Ta 0.500 0.500 0.235
Cd1 Cd 0.000 0.000 0.485
As1 As 0.500 0.500 0.791
```

[4]
The following is a meta-GGA SCAN calculation of a PBEsol-optimized structure of MnCdPt2, from Alexandria.

Output
Theoretical density = 14.9 g/cm³
M_tot = 4.5 μB/f.u.
Formation enthalpy at 0 K = -13.62 kcal/mol of atoms

Geometry as CIF:
```
data_MnCdPt2
_cell_length_a 2.918
_cell_length_b 3.586
_cell_length_c 5.927
_cell_angle_alpha 90.00
_cell_angle_beta 90.00
_cell_angle_gamma 90.00
_symmetry_space_group_name_H-M 'P 1'
_symmetry_Int_Tables_number 1
_symmetry_space_group_name_Hall 'P 1'
loop_
_atom_site_label
_atom_site_type_symbol
_atom_site_fract_x
_atom_site_fract_y
_atom_site_fract_z
Mn1 Mn 0.000 0.000 0.000
Cd1 Cd 0.000 0.000 0.500
Pt1 Pt 0.500 0.500 0.233
Pt2 Pt 0.500 0.500 0.767
```

[5]
The following is a meta-GGA SCAN calculation of a PBEsol-optimized structure of TaPAu2, from Alexandria.

Output
Theoretical density = 15.1 g/cm³
M_tot = 0.0 μB/f.u.
Formation enthalpy at 0 K = 3.24 kcal/mol of atoms

Geometry as CIF:
```
data_TaPAu2
_cell_length_a 5.092
_cell_length_b 5.092
_cell_length_c 2.934
_cell_angle_alpha 90.00
_cell_angle_beta 90.00
_cell_angle_gamma 118.97
_symmetry_space_group_name_H-M 'P 1'
_symmetry_Int_Tables_number 1
_symmetry_space_group_name_Hall 'P 1'
loop_
_atom_site_label
_atom_site_type_symbol
_atom_site_fract_x
_atom_site_fract_y
_atom_site_fract_z
Ta1 Ta 0.000 0.000 0.000
P1 P 0.500 0.500 0.000
Au1 Au 0.000 0.500 0.500
Au2 Au 0.500 0.000 0.500
```

[6]
The following is a meta-GGA SCAN calculation of a PBEsol-optimized structure of NdMnPO, from Alexandria.

Output
Theoretical density = 6.5 g/cm³
M_tot = 1.6 μB/f.u.
Formation energy from raw total energies = -2051.4 meV/atom

Geometry as CIF:
```
data_NdMnPO
_cell_length_a 3.900
_cell_length_b 3.900
_cell_length_c 8.207
_cell_angle_alpha 90.00
_cell_angle_beta 90.00
_cell_angle_gamma 90.00
_symmetry_space_group_name_H-M 'P 1'
_symmetry_Int_Tables_number 1
_symmetry_space_group_name_Hall 'P 1'
loop_
_atom_site_label
_atom_site_type_symbol
_atom_site_fract_x
_atom_site_fract_y
_atom_site_fract_z
Nd1 Nd 0.250 0.250 0.148
Nd2 Nd 0.750 0.750 0.852
Mn1 Mn 0.250 0.750 0.500
Mn2 Mn 0.750 0.250 0.500
P1 P 0.250 0.250 0.634
P2 P 0.750 0.750 0.366
O1 O 0.250 0.750 0.000
O2 O 0.750 0.250 0.000
```

[7]
The following is a meta-GGA SCAN calculation of a PBEsol-optimized structure of NiRu3Pb, from Alexandria.

Output
Theoretical density = 10.8 g/cm³
M_tot = 5.3 μB/f.u.
Formation enthalpy at 0 K = 29.47 kcal/mol of atoms

Geometry as CIF:
```
data_NiRu3Pb
_cell_length_a 4.436
_cell_length_b 4.436
_cell_length_c 4.436
_cell_angle_alpha 90.00
_cell_angle_beta 90.00
_cell_angle_gamma 90.00
_symmetry_space_group_name_H-M 'P 1'
_symmetry_Int_Tables_number 1
_symmetry_space_group_name_Hall 'P 1'
loop_
_atom_site_label
_atom_site_type_symbol
_atom_site_fract_x
_atom_site_fract_y
_atom_site_fract_z
Ni1 Ni 0.000 0.000 0.000
Ru1 Ru 0.000 0.000 0.500
Ru2 Ru 0.000 0.500 0.000
Ru3 Ru 0.500 0.000 0.000
Pb1 Pb 0.500 0.500 0.500
```

[8]
The following is a meta-GGA SCAN calculation of a PBEsol-optimized structure of LaTcPt2, from Alexandria.

Output
Distance to the lowest polymorph of the same formula = 59 meV per atom
Theoretical density = 15.0 g/cm³
M_tot = 0.0 μB/f.u.
Formation enthalpy at 0 K = -6.39 kcal/mol of atoms

Geometry as CIF:
```
data_LaTcPt2
_cell_length_a 2.854
_cell_length_b 2.854
_cell_length_c 8.536
_cell_angle_alpha 90.00
_cell_angle_beta 90.00
_cell_angle_gamma 90.00
_symmetry_space_group_name_H-M 'P 1'
_symmetry_Int_Tables_number 1
_symmetry_space_group_name_Hall 'P 1'
loop_
_atom_site_label
_atom_site_type_symbol
_atom_site_fract_x
_atom_site_fract_y
_atom_site_fract_z
La1 La 0.000 0.000 0.000
Tc1 Tc 0.000 0.000 0.500
Pt1 Pt 0.500 0.500 0.289
Pt2 Pt 0.500 0.500 0.711
```